Entry 1:
Entry from Alexandria: crystalline LaTlSi4 at its relaxed geometry (PBE-GGA).

a = 5.548 Å, b = 5.548 Å, c = 5.548 Å
α = 60.00°, β = 60.00°, γ = 60.00°
Element x y z (fractional)
La  0.000  0.000  0.000
Tl  0.250  0.250  0.250
Si  0.154  0.615  0.615
Si  0.615  0.154  0.615
Si  0.615  0.615  0.154
Si  0.615  0.615  0.615

Computed properties:
Raw formation energy in eV per atom: -0.0344

=====

Entry 2:
Entry from Alexandria: crystalline V12Sn3Ir at its relaxed geometry (PBE-GGA).

a = 4.903 Å, b = 4.909 Å, c = 9.879 Å
α = 90.00°, β = 90.00°, γ = 90.00°
Element x y z (fractional)
V  0.000  0.000  0.116
V  0.000  0.000  0.370
V  0.000  0.000  0.630
V  0.000  0.000  0.884
V  0.242  0.500  0.240
V  0.242  0.500  0.760
V  0.500  0.243  0.500
V  0.500  0.259  0.000
V  0.500  0.741  0.000
V  0.500  0.757  0.500
V  0.758  0.500  0.240
V  0.758  0.500  0.760
Sn  0.000  0.500  0.500
Sn  0.500  0.000  0.250
Sn  0.500  0.000  0.750
Ir  0.000  0.500  0.000

Computed properties:
Energy of formation from the pure elements in eV per atom: -0.165

=====

Entry 3:
Entry from Alexandria: crystalline Pm8Mg2Ni at its relaxed geometry (PBE-GGA).

a = 9.324 Å, b = 9.324 Å, c = 7.078 Å
α = 109.70°, β = 109.70°, γ = 35.10°
Element x y z (fractional)
Pm  0.011  0.011  0.277
Pm  0.199  0.199  0.756
Pm  0.356  0.356  0.571
Pm  0.403  0.403  0.092
Pm  0.597  0.597  0.908
Pm  0.644  0.644  0.429
Pm  0.801  0.801  0.244
Pm  0.989  0.989  0.723
Mg  0.182  0.182  0.196
Mg  0.818  0.818  0.804
Ni  0.500  0.500  0.500

Computed properties:
Energy of formation from the pure elements in eV per atom: -0.015

=====

Entry 4:
Entry from Alexandria: crystalline Ta2B2Mo at its relaxed geometry (PBE-GGA).

a = 6.118 Å, b = 6.118 Å, c = 3.284 Å
α = 90.00°, β = 90.00°, γ = 90.00°
Element x y z (fractional)
Ta  0.178  0.322  0.000
Ta  0.322  0.822  0.000
Ta  0.678  0.178  0.000
Ta  0.822  0.678  0.000
B  0.109  0.609  0.500
B  0.391  0.109  0.500
B  0.609  0.891  0.500
B  0.891  0.391  0.500
Mo  0.000  0.000  0.500
Mo  0.500  0.500  0.500

Computed properties:
Energy of formation from the pure elements in eV per atom: -0.708

=====

Entry 5:
Entry from Alexandria: crystalline Cr2MoW6 at its relaxed geometry (PBE-GGA).

a = 2.758 Å, b = 9.656 Å, c = 10.642 Å
α = 79.10°, β = 86.10°, γ = 89.63°
Element x y z (fractional)
Cr  0.240  0.046  0.087
Cr  0.242  0.804  0.035
Cr  0.758  0.196  0.965
Cr  0.760  0.954  0.913
Mo  0.186  0.614  0.418
Mo  0.814  0.386  0.582
W  0.097  0.406  0.822
W  0.163  0.134  0.514
W  0.166  0.876  0.724
W  0.296  0.368  0.088
W  0.425  0.156  0.748
W  0.471  0.631  0.658
W  0.529  0.369  0.342
W  0.575  0.844  0.252
W  0.704  0.632  0.912
W  0.834  0.124  0.276
W  0.837  0.866  0.486
W  0.903  0.594  0.178

Computed properties:
Energy of formation from the pure elements in eV per atom: 0.259

=====

Entry 6:
Entry from Alexandria: crystalline LuNi2Hg at its relaxed geometry (PBE-GGA).

a = 4.530 Å, b = 4.530 Å, c = 4.530 Å
α = 60.00°, β = 60.00°, γ = 60.00°
Element x y z (fractional)
Lu  0.000  0.000  0.000
Ni  0.250  0.250  0.250
Ni  0.750  0.750  0.750
Hg  0.500  0.500  0.500

Computed properties:
Energy of formation from the pure elements in eV per atom: -0.268
Polymorph energy (0 for the lowest one) in meV/atom: 0

=====

| no. | raw total energy (eV/atom) | total magnetic moment (μB per formula unit) |
| --- | --- | --- |
| 1 | -4.865 | 0.00 |
| 2 | -8.308 | 0.00 |
| 3 | -4.285 | 0.00 |
| 4 | -10.286 | 0.00 |
| 5 | -11.718 | 0.00 |
| 6 | -4.365 | 0.00 |